VASP calculation (PBE+U) on crystalline Eu3Mn5F12 at its relaxed geometry.

Results
Total magnetic moment: 2.343 μB/atom
N(E_F): 2.10 states/eV/atom
E_tot: -564.914 eV/cell

Geometry as POSCAR:
```
Eu3Mn5F12
1.0
-6.9593 6.9593 6.9593
6.9593 -6.9593 6.9593
6.9593 6.9593 -6.9593
Eu Mn F
12 20 48
direct
0.1250 0.2500 0.3750
0.1250 0.3750 0.7500
0.2500 0.3750 0.1250
0.2500 0.8750 0.6250
0.3750 0.1250 0.2500
0.3750 0.7500 0.1250
0.6250 0.2500 0.8750
0.6250 0.8750 0.7500
0.7500 0.1250 0.3750
0.7500 0.6250 0.8750
0.8750 0.6250 0.2500
0.8750 0.7500 0.6250
0.0000 0.0000 0.0000
0.0000 0.0000 0.5000
0.0000 0.5000 0.0000
0.0000 0.5000 0.5000
0.1250 0.7500 0.8750
0.1250 0.8750 0.2500
0.2500 0.1250 0.8750
0.2500 0.6250 0.3750
0.3750 0.2500 0.6250
0.3750 0.6250 0.7500
0.5000 0.0000 0.0000
0.5000 0.0000 0.5000
0.5000 0.5000 0.0000
0.5000 0.5000 0.5000
0.6250 0.3750 0.2500
0.6250 0.7500 0.3750
0.7500 0.3750 0.6250
0.7500 0.8750 0.1250
0.8750 0.1250 0.7500
0.8750 0.2500 0.1250
0.0445 0.2075 0.1339
0.0445 0.3370 0.9106
0.0736 0.7075 0.6630
0.0736 0.8661 0.4106
0.0894 0.6339 0.4264
0.0894 0.9555 0.6630
0.1339 0.0445 0.2075
0.1339 0.5894 0.9264
0.1630 0.2075 0.5736
0.1630 0.4555 0.5894
0.2075 0.1339 0.0445
0.2075 0.5736 0.1630
0.2925 0.3370 0.9264
0.2925 0.4555 0.3661
0.3370 0.9106 0.0445
0.3370 0.9264 0.2925
0.3661 0.2925 0.4555
0.3661 0.5736 0.9106
0.4106 0.0736 0.8661
0.4106 0.8370 0.5445
0.4264 0.0894 0.6339
0.4264 0.8370 0.7925
0.4555 0.3661 0.2925
0.4555 0.5894 0.1630
0.5445 0.4106 0.8370
0.5445 0.6339 0.7075
0.5736 0.1630 0.2075
0.5736 0.9106 0.3661
0.5894 0.1630 0.4555
0.5894 0.9264 0.1339
0.6339 0.4264 0.0894
0.6339 0.7075 0.5445
0.6630 0.0736 0.7075
0.6630 0.0894 0.9555
0.7075 0.5445 0.6339
0.7075 0.6630 0.0736
0.7925 0.4264 0.8370
0.7925 0.8661 0.9555
0.8370 0.5445 0.4106
0.8370 0.7925 0.4264
0.8661 0.4106 0.0736
0.8661 0.9555 0.7925
0.9106 0.0445 0.3370
0.9106 0.3661 0.5736
0.9264 0.1339 0.5894
0.9264 0.2925 0.3370
0.9555 0.6630 0.0894
0.9555 0.7925 0.8661
```